(1)
ZrScCd meta-GGA SCAN PBEsol geometry; E_form = -0.25 eV per formula unit; relative energy among the computed polymorphs = 146.9 meV per atom
1.0
-2.509 -1.253 -1.460
2.026 -1.870 1.547
-4.110 0.813 6.367
Cd Sc Zr
1 1 1
direct
0.000 0.000 0.999 Cd
0.333 0.667 0.664 Sc
0.667 0.333 0.337 Zr

=====

(2)
ZrScCd meta-GGA SCAN PBEsol geometry; E_form = -0.69 eV per formula unit; relative energy among the computed polymorphs = 0.0 meV per atom
1.0
-2.441 0.021 2.084
2.051 -0.546 2.408
0.918 6.439 -1.461
Zr Sc Cd
1 1 1
direct
0.333 0.333 0.666 Zr
0.665 0.665 0.331 Sc
0.001 0.001 0.003 Cd

=====

(3)
ZrScCd4 meta-GGA SCAN PBEsol geometry; E_form = -1.15 eV per formula unit
1.0
-5.492 1.015 0.468
-2.648 -1.075 4.822
-1.806 4.226 3.208
Cd Zr Sc
4 1 1
direct
0.375 0.375 0.875 Cd
0.375 0.875 0.375 Cd
0.375 0.375 0.375 Cd
0.875 0.375 0.375 Cd
0.000 0.000 0.000 Zr
0.750 0.750 0.750 Sc

=====

(4)
CdSe meta-GGA SCAN PBEsol geometry; formation energy from raw total energies = 0.16 eV per atom
1.0
3.023 0.000 0.000
0.000 3.023 0.000
0.000 0.000 9.554
Cd Se
2 2
direct
0.000 0.500 0.382 Cd
0.500 0.000 0.618 Cd
0.000 0.500 0.837 Se
0.500 0.000 0.163 Se

=====

(5)
CdSe meta-GGA SCAN PBEsol geometry; formation energy from raw total energies = -0.70 eV per atom
1.0
-2.618 2.358 2.466
-0.452 -4.274 -0.143
4.478 -0.654 5.380
Se Cd
2 2
direct
0.333 0.667 0.125 Se
0.667 0.333 0.625 Se
0.667 0.333 0.000 Cd
0.333 0.667 0.500 Cd

=====

(6)
CdSe meta-GGA SCAN PBEsol geometry; formation energy from raw total energies = -0.70 eV per atom
1.0
4.301 0.000 0.000
2.150 3.725 0.000
2.150 1.242 3.512
Cd Se
1 1
direct
0.000 0.000 0.000 Cd
0.750 0.750 0.750 Se

=====

(7)
CdSiSe2 meta-GGA SCAN PBEsol geometry; formation energy from raw total energies = -0.04 eV per atom
1.0
5.581 0.000 0.000
0.000 5.581 0.000
-2.790 -2.790 6.870
Cd Se Si
2 4 2
direct
0.000 0.000 0.000 Cd
0.250 0.750 0.500 Cd
0.625 0.602 0.750 Se
0.398 0.875 0.250 Se
0.852 0.375 0.250 Se
0.125 0.148 0.750 Se
0.750 0.250 0.500 Si
0.500 0.500 0.000 Si

=====

(8)
CdSiSe2 meta-GGA SCAN PBEsol geometry; formation energy from raw total energies = -0.05 eV per atom
1.0
3.553 0.000 0.000
0.000 4.013 0.029
-1.777 -0.269 6.242
Si Cd Se
1 1 2
direct
0.463 0.692 0.926 Si
0.227 0.097 0.455 Cd
0.016 0.107 0.033 Se
0.793 0.604 0.586 Se

=====

(9)
CdSiSe2 meta-GGA SCAN PBEsol geometry; formation energy from raw total energies = -0.22 eV per atom
1.0
3.857 0.000 0.000
0.000 3.857 0.000
0.000 0.000 5.774
Si Se Cd
1 2 1
direct
0.000 0.000 0.353 Si
0.500 0.500 0.378 Se
0.000 0.000 0.930 Se
0.500 0.500 0.840 Cd

=====

(10)
SrCd2Se meta-GGA SCAN PBEsol geometry; formation energy from raw total energies = -0.85 eV per atom
1.0
4.046 0.000 0.000
0.000 4.363 -0.023
0.000 -2.034 6.250
Cd Se Sr
2 1 1
direct
0.500 0.525 0.162 Cd
0.000 0.992 0.094 Cd
0.000 0.757 0.653 Se
0.500 0.227 0.591 Sr

=====

(11)
Sr2CdSe meta-GGA SCAN PBEsol geometry; relative energy among the computed polymorphs = 203.2 meV per atom; formation energy from raw total energies = -0.86 eV per atom
1.0
-5.195 1.414 1.198
-3.982 -3.816 -0.063
-2.292 -1.672 4.730
Cd Sr Se
1 2 1
direct
0.000 0.000 0.000 Cd
0.250 0.250 0.250 Sr
0.750 0.750 0.750 Sr
0.500 0.500 0.500 Se

=====

(12)
Sr2CdSe meta-GGA SCAN PBEsol geometry; relative energy among the computed polymorphs = 0.0 meV per atom; formation energy from raw total energies = -1.06 eV per atom
1.0
4.541 -0.003 0.000
0.004 4.541 0.000
0.000 0.000 6.426
Sr Cd Se
2 1 1
direct
0.623 0.623 0.500 Sr
0.124 0.124 0.000 Sr
0.624 0.624 0.000 Cd
0.123 0.123 0.500 Se

=====

| no. | total moment (μB/atom) |
| --- | --- |
| 1 | 0.00 |
| 2 | 0.00 |
| 3 | 0.36 |
| 4 | 0.00 |
| 5 | 0.00 |
| 6 | 0.00 |
| 7 | 0.00 |
| 8 | 0.00 |
| 9 | 0.00 |
| 10 | 0.00 |
| 11 | 0.00 |
| 12 | 0.17 |